An optimized crystal structure of ReOF. Source: the Alexandria database, functional PBE-GGA.

The calculation puts the magnetic moment at 0.0 Bohr magnetons per cell. The calculation puts the formation energy without anion corrections at -1.05 eV/atom. The mass density comes out at 9.64 g cm⁻³.

It has space group Pnma (No. 62), with a = 9.453 Å, b = 3.267 Å, c = 4.935 Å, α = 90.00°, β = 90.00° and γ = 90.00°. The asymmetric unit holds Re at (0.096, 0.250, 0.034), O at (0.042, 0.750, 0.270) and F at (0.225, 0.750, 0.798).

An optimized crystal structure of TaZnTc3. Source: the Alexandria database, functional PBE-GGA.

The calculation puts the magnetic moment at 0.0 Bohr magnetons per cell. The formation energy is 1.423 eV per atom. Its relative energy among the computed polymorphs is 0 meV per atom. The mass density comes out at 10.22 g cm⁻³.

It has space group Pm-3m (No. 221), with a = 4.445 Å, b = 4.445 Å, c = 4.445 Å, α = 90.00°, β = 90.00° and γ = 90.00°. The asymmetric unit holds Ta at (0.000, 0.000, 0.000), Zn at (0.500, 0.500, 0.500) and Tc at (0.000, 0.500, 0.500).

An optimized crystal structure of CeDyMgGa. Source: the Alexandria database, functional PBE-GGA.

The calculation puts the magnetic moment at 2.5 Bohr magnetons per cell. The formation energy is -0.260 eV per atom. The mass density comes out at 6.58 g cm⁻³.

It has space group F-43m (No. 216), with a = 7.370 Å, b = 7.370 Å, c = 7.370 Å, α = 90.00°, β = 90.00° and γ = 90.00°. The asymmetric unit holds Ce at (0.000, 0.000, 0.000), Dy at (0.000, 0.000, 0.500), Mg at (0.250, 0.250, 0.250) and Ga at (0.250, 0.250, 0.750).

An optimized crystal structure of Hg4AsCl2. Source: the Alexandria database, functional PBE-GGA.

The calculation puts the magnetic moment at 0.0 Bohr magnetons per cell. The calculation puts the formation energy without anion corrections at -0.20 eV/atom. The mass density comes out at 7.29 g cm⁻³.

It has space group P2_1/m (No. 11), with a = 7.185 Å, b = 7.093 Å, c = 8.474 Å, α = 90.00°, β = 90.52° and γ = 90.00°. The asymmetric unit holds Hg at (0.070, 0.054, 0.331), Hg at (0.285, 0.250, 0.071), Hg at (0.381, 0.250, 0.639), As at (0.083, 0.250, 0.793), Cl at (0.365, 0.750, 0.550) and Cl at (0.374, 0.750, 0.067).

An optimized crystal structure of TbPmSmDy. Source: the Alexandria database, functional PBE-GGA.

The calculation puts the magnetic moment at 0.0 Bohr magnetons per cell. The formation energy is 0.016 eV per atom. Its relative energy among the computed polymorphs is 0 meV per atom. The mass density comes out at 7.79 g cm⁻³.

It has space group I-4m2 (No. 119), with a = 5.087 Å, b = 5.087 Å, c = 10.160 Å, α = 90.00°, β = 90.00° and γ = 90.00°. The asymmetric unit holds Tb at (0.000, 0.000, 0.000), Pm at (0.000, 0.500, 0.750), Sm at (0.000, 0.000, 0.500) and Dy at (0.000, 0.500, 0.250).

An optimized crystal structure of CsCr4Se8. Source: the Alexandria database, functional PBE-GGA.

The calculation puts the magnetic moment at 28.6 Bohr magnetons per cell. The calculation puts the formation energy without anion corrections at -0.63 eV/atom. The mass density comes out at 4.11 g cm⁻³.

It has space group R-3m (No. 166, hexagonal axes), with a = 7.0527 Å, b = 7.0527 Å, c = 27.3386 Å, α = 90.00°, β = 90.00° and γ = 120.00°. The asymmetric unit holds Cs at (0.0000, 0.0000, 0.0000), Cr at (0.0000, 0.0000, 0.5000), Cr at (0.0000, 0.5000, 0.5000), Se at (0.0000, 0.0000, 0.2204) and Se at (0.0013, 0.5006, 0.2201).

An optimized crystal structure of Sc2SbAs. Source: the Alexandria database, functional PBE-GGA.

The calculation puts the magnetic moment at 0.0 Bohr magnetons per cell. The calculation puts the formation energy without anion corrections at -0.71 eV/atom. The mass density comes out at 5.48 g cm⁻³.

It has space group P4/mmm (No. 123), with a = 4.899 Å, b = 4.899 Å, c = 3.620 Å, α = 90.00°, β = 90.00° and γ = 90.00°. The asymmetric unit holds Sc at (0.000, 0.500, 0.000), Sb at (0.000, 0.000, 0.500) and As at (0.500, 0.500, 0.500).

An optimized crystal structure of HfSc3Os. Source: the Alexandria database, functional PBE-GGA.

The calculation puts the magnetic moment at 0.0 Bohr magnetons per cell. The formation energy is 0.276 eV per atom. Its relative energy among the computed polymorphs is 0 meV per atom. The mass density comes out at 6.72 g cm⁻³.

It has space group Pm-3m (No. 221), with a = 4.994 Å, b = 4.994 Å, c = 4.994 Å, α = 90.00°, β = 90.00° and γ = 90.00°. The asymmetric unit holds Hf at (0.000, 0.000, 0.000), Sc at (0.000, 0.500, 0.500) and Os at (0.500, 0.500, 0.500).

An optimized crystal structure of CoW3Au. Source: the Alexandria database, functional PBE-GGA.

The calculation puts the magnetic moment at 1.8 Bohr magnetons per cell. The formation energy is 3.003 eV per atom. Its relative energy among the computed polymorphs is 1675 meV per atom. The mass density comes out at 12.06 g cm⁻³.

It has space group Pm-3m (No. 221), with a = 4.809 Å, b = 4.809 Å, c = 4.809 Å, α = 90.00°, β = 90.00° and γ = 90.00°. The asymmetric unit holds Co at (0.000, 0.000, 0.000), W at (0.000, 0.500, 0.500) and Au at (0.500, 0.500, 0.500).

An optimized crystal structure of Nb2BSbF. Source: the Alexandria database, functional PBE-GGA.

The calculation puts the magnetic moment at 2.9 Bohr magnetons per cell. The calculation puts the formation energy without anion corrections at 1.40 eV/atom. The mass density comes out at 5.04 g cm⁻³.

It has space group P4/mmm (No. 123), with a = 5.230 Å, b = 5.230 Å, c = 4.061 Å, α = 90.00°, β = 90.00° and γ = 90.00°. The asymmetric unit holds Nb at (0.000, 0.500, 0.000), B at (0.000, 0.000, 0.500), Sb at (0.500, 0.500, 0.000) and F at (0.500, 0.500, 0.500).

An optimized crystal structure of KCo2I2. Source: the Alexandria database, functional PBE-GGA.

The calculation puts the magnetic moment at 6.3 Bohr magnetons per cell. The calculation puts the formation energy without anion corrections at 0.20 eV/atom. Its relative energy among the computed polymorphs is 0 meV per atom. The mass density comes out at 4.20 g cm⁻³.

It has space group P4/mbm (No. 127), with a = 8.484 Å, b = 8.484 Å, c = 4.516 Å, α = 90.00°, β = 90.00° and γ = 90.00°. The asymmetric unit holds K at (0.000, 0.000, 0.000), Co at (0.089, 0.411, 0.000) and I at (0.175, 0.325, 0.500).

An optimized crystal structure of Sr2MnRe. Source: the Alexandria database, functional PBE-GGA.

The calculation puts the magnetic moment at 11.8 Bohr magnetons per cell. The formation energy is 1.152 eV per atom. Its relative energy among the computed polymorphs is 772 meV per atom. The mass density comes out at 6.57 g cm⁻³.

It has space group I4/mmm (No. 139), with a = 4.940 Å, b = 4.940 Å, c = 8.630 Å, α = 90.00°, β = 90.00° and γ = 90.00°. The asymmetric unit holds Sr at (0.000, 0.500, 0.250), Mn at (0.000, 0.000, 0.000) and Re at (0.000, 0.000, 0.500).

An optimized crystal structure of SmTmScGa. Source: the Alexandria database, functional PBE-GGA.

The calculation puts the magnetic moment at 3.6 Bohr magnetons per cell. The formation energy is -0.138 eV per atom. The mass density comes out at 7.18 g cm⁻³.

It has space group F-43m (No. 216), with a = 7.376 Å, b = 7.376 Å, c = 7.376 Å, α = 90.00°, β = 90.00° and γ = 90.00°. The asymmetric unit holds Sm at (0.000, 0.000, 0.000), Tm at (0.000, 0.000, 0.500), Sc at (0.250, 0.250, 0.750) and Ga at (0.250, 0.250, 0.250).

An optimized crystal structure of La2Al3Ag. Source: the Alexandria database, functional PBE-GGA.

The calculation puts the magnetic moment at 0.0 Bohr magnetons per cell. The formation energy is -0.454 eV per atom. Its relative energy among the computed polymorphs is 0 meV per atom. The mass density comes out at 5.74 g cm⁻³.

It has space group P6_3/mmc (No. 194), with a = 5.8525 Å, b = 5.8525 Å, c = 9.1008 Å, α = 90.00°, β = 90.00° and γ = 120.00°. The asymmetric unit holds La at (0.3333, 0.6667, 0.0803), Al at (0.1696, 0.3391, 0.7500) and Ag at (0.0000, 0.0000, 0.0000).

An optimized crystal structure of NaThCd4. Source: the Alexandria database, functional PBE-GGA.

The calculation puts the magnetic moment at 0.0 Bohr magnetons per cell. The formation energy is -0.146 eV per atom. Its relative energy among the computed polymorphs is 0 meV per atom. The mass density comes out at 7.75 g cm⁻³.

It has space group Pmmm (No. 47), with a = 3.299 Å, b = 5.099 Å, c = 8.977 Å, α = 90.00°, β = 90.00° and γ = 90.00°. The asymmetric unit holds Na at (0.000, 0.000, 0.000), Th at (0.000, 0.500, 0.500), Cd at (0.500, 0.000, 0.328) and Cd at (0.500, 0.500, 0.160).

An optimized crystal structure of V2SiOs. Source: the Alexandria database, functional PBE-GGA.

The calculation puts the magnetic moment at 0.0 Bohr magnetons per cell. The calculation puts the formation energy without anion corrections at -0.09 eV/atom. The mass density comes out at 9.72 g cm⁻³.

It has space group R-3m (No. 166, hexagonal axes), with a = 2.7343 Å, b = 2.7343 Å, c = 25.3473 Å, α = 90.00°, β = 90.00° and γ = 120.00°. The asymmetric unit holds V at (0.0000, 0.0000, 0.2486), Si at (0.0000, 0.0000, 0.5000) and Os at (0.0000, 0.0000, 0.0000).

An optimized crystal structure of Li12InAg7. Source: the Alexandria database, functional PBE-GGA.

The calculation puts the magnetic moment at 0.0 Bohr magnetons per cell. The formation energy is -0.136 eV per atom. The mass density comes out at 4.61 g cm⁻³.

It has space group R-3 (No. 148, hexagonal axes), with a = 11.9839 Å, b = 11.9839 Å, c = 8.2864 Å, α = 90.00°, β = 90.00° and γ = 120.00°. The asymmetric unit holds Li at (0.0284, 0.7802, 0.0590), Li at (0.0675, 0.8215, 0.4231), In at (0.0000, 0.0000, 0.0000), Ag at (0.0000, 0.0000, 0.5000) and Ag at (0.0488, 0.8499, 0.7466).

An optimized crystal structure of CuSn2SbRh. Source: the Alexandria database, functional PBE-GGA.

The calculation puts the magnetic moment at 0.0 Bohr magnetons per cell. The calculation puts the formation energy without anion corrections at 0.25 eV/atom. The mass density comes out at 6.98 g cm⁻³.

It has space group P4/mmm (No. 123), with a = 5.044 Å, b = 5.044 Å, c = 4.919 Å, α = 90.00°, β = 90.00° and γ = 90.00°. The asymmetric unit holds Cu at (0.000, 0.000, 0.000), Sn at (0.000, 0.500, 0.500), Sb at (0.500, 0.500, 0.000) and Rh at (0.000, 0.000, 0.500).

An optimized crystal structure of Ho2MgZnRh4. Source: the Alexandria database, functional PBE-GGA.

The calculation puts the magnetic moment at 0.0 Bohr magnetons per cell. The formation energy is -0.708 eV per atom. The mass density comes out at 10.11 g cm⁻³.

It has space group R-3m (No. 166, hexagonal axes), with a = 4.5852 Å, b = 4.5852 Å, c = 22.5027 Å, α = 90.00°, β = 90.00° and γ = 120.00°. The asymmetric unit holds Ho at (0.0000, 0.0000, 0.2484), Mg at (0.0000, 0.0000, 0.0000), Zn at (0.0000, 0.0000, 0.5000), Rh at (0.0000, 0.0000, 0.1258) and Rh at (0.0000, 0.0000, 0.3760).